Below is an optimized crystal structure of Li3Ni4O4F3, with properties calculated at the PBE with a Hubbard U level.

Computed properties:
- Electronic total energy: -4.81 eV/atom
- V: 127.95 Å³ per cell

Unit cell a=14.7561 b=14.7561 c=14.7561 alpha=168.49 beta=168.49 gamma=16.31
With the nearest neighbours (Å) after each atom.
Sites, in units of the cell vectors:
Li: 0.0000 0.0000 0.0000  6 F 1.98-2.09
Li: 0.4302 0.4302 0.0000  5 F 2.04-2.09, 1 O 2.06
Li: 0.5698 0.5698 0.0000  5 F 2.04-2.09, 1 O 2.06
Ni: 0.1417 0.1417 0.0000  5 O 2.09-2.10, 1 F 2.16
Ni: 0.2867 0.2867 0.0000  6 O 2.09-2.14
Ni: 0.7133 0.7133 0.0000  6 O 2.09-2.14
Ni: 0.8583 0.8583 0.0000  5 O 2.09-2.10, 1 F 2.16
O: 0.2136 0.2136 0.0000  6 Ni 2.09-2.14
O: 0.3595 0.3595 0.0000  1 Li 2.06, 5 Ni 2.09-2.13
O: 0.6405 0.6405 0.0000  1 Li 2.06, 5 Ni 2.09-2.13
O: 0.7864 0.7864 0.0000  6 Ni 2.09-2.14
F: 0.0678 0.0678 0.0000  5 Li 1.98-2.09, 1 Ni 2.16
F: 0.5000 0.5000 0.0000  6 Li 2.04-2.09
F: 0.9322 0.9322 0.0000  5 Li 1.98-2.09, 1 Ni 2.16